(1)
K3Tm2PuSe6 GGA-PBE optimized geometry; V = 353.3 Å³ per cell; symmetry = No. 12; formation energy (no corrections) = -1640 meV/atom
1.0
3.650 -6.323 0.000
3.650 6.323 0.000
-2.434 0.000 7.654
K Tm Pu Se
3 2 1 6
Cartesian
0.000 0.000 0.000
3.650 2.095 0.000
3.650 -2.095 0.000
2.433 4.215 3.827
2.433 -4.215 3.827
2.433 0.000 3.827
1.190 2.153 2.269
-0.054 0.000 5.385
1.190 -2.153 2.269
3.676 2.153 5.385
4.920 0.000 2.269
3.676 -2.153 5.385

=====

(2)
K3TmPu3Se8 GGA-PBE optimized geometry; V = 418.6 Å³ per cell; symmetry = No. 123; formation energy (no corrections) = -1302 meV/atom
1.0
7.235 0.000 0.000
0.000 7.235 0.000
0.000 0.000 7.998
K Tm Pu Se
3 1 3 8
Cartesian
0.000 0.000 0.000
0.000 3.618 0.000
3.618 0.000 0.000
0.000 0.000 3.999
0.000 3.618 3.999
3.618 0.000 3.999
3.618 3.618 3.999
1.794 1.794 2.371
1.794 1.794 5.627
1.794 5.441 2.371
1.794 5.441 5.627
5.441 1.794 2.371
5.441 1.794 5.627
5.441 5.441 2.371
5.441 5.441 5.627

=====

(3)
K3Pu2USe6 GGA-PBE optimized geometry; V = 363.1 Å³ per cell; symmetry = No. 12; formation energy (no corrections) = -1414 meV/atom
1.0
3.701 -6.410 0.000
3.701 6.410 0.000
-2.468 0.000 7.654
K Pu U Se
3 2 1 6
Cartesian
0.000 0.000 0.000
3.701 2.155 0.000
3.701 -2.155 0.000
2.467 4.275 3.827
2.467 -4.275 3.827
2.467 0.000 3.827
1.259 2.093 2.254
0.051 0.000 5.399
1.259 -2.093 2.254
3.675 2.093 5.399
4.882 0.000 2.254
3.675 -2.093 5.399

=====

(4)
K4PuU3Se8 GGA-PBE optimized geometry; V = 480.0 Å³ per cell; symmetry = No. 166; formation energy (no corrections) = -1304 meV/atom
1.0
4.236 2.445 7.725
-4.236 2.445 7.725
0.000 -4.891 7.725
K Pu U Se
4 1 3 8
Cartesian
0.000 0.000 0.000
-2.118 -1.223 7.725
-2.118 1.223 15.449
0.000 2.445 7.725
0.000 0.000 11.587
-4.236 0.000 11.587
-2.118 1.223 3.862
2.118 1.223 3.862
-2.146 -1.239 13.189
0.000 0.000 5.469
0.000 -2.478 9.984
-2.146 1.239 9.984
2.146 -1.239 13.189
0.000 2.478 13.189
0.000 0.000 17.705
2.146 1.239 9.984

=====

(5)
K2PuU2Se6 GGA-PBE optimized geometry; V = 358.5 Å³ per cell; symmetry = No. 12; formation energy (no corrections) = -1331 meV/atom
1.0
3.629 -6.304 0.000
3.629 6.304 0.000
-2.388 0.000 7.836
K Pu U Se
2 1 2 6
Cartesian
3.629 4.221 0.000
3.629 -4.221 0.000
-1.194 0.000 3.918
2.435 2.091 3.918
2.435 -2.091 3.918
0.035 2.151 5.489
1.271 0.000 2.337
0.035 -2.151 5.489
4.835 2.151 2.347
3.599 0.000 5.499
4.835 -2.151 2.347

=====

(6)
K2Pu2USe6 GGA-PBE optimized geometry; V = 359.4 Å³ per cell; symmetry = No. 12; formation energy (no corrections) = -1402 meV/atom
1.0
3.659 -6.306 0.000
3.659 6.306 0.000
-2.459 0.000 7.789
K Pu U Se
2 2 1 6
Cartesian
3.659 4.178 0.000
3.659 -4.178 0.000
2.429 2.096 3.895
2.429 -2.096 3.895
-1.230 0.000 3.895
-0.042 2.053 5.448
1.135 0.000 2.341
-0.042 -2.053 5.448
4.899 2.053 2.341
3.723 0.000 5.448
4.899 -2.053 2.341

=====

(7)
K2PuUSe4 GGA-PBE optimized geometry; V = 241.6 Å³ per cell; symmetry = No. 10; formation energy (no corrections) = -1369 meV/atom
1.0
7.389 0.000 0.000
0.000 4.258 0.000
-2.446 0.000 7.680
K Pu U Se
2 1 1 4
Cartesian
0.000 0.000 0.000
3.695 2.129 0.000
-1.223 2.129 3.840
2.472 0.000 3.840
0.053 0.000 5.423
1.272 2.129 2.256
3.671 2.129 5.424
4.890 0.000 2.257

=====

(8)
K3PuU2Se6 GGA-PBE optimized geometry; V = 364.7 Å³ per cell; symmetry = No. 12; formation energy (no corrections) = -1300 meV/atom
1.0
3.699 -6.408 0.000
3.699 6.408 0.000
-2.468 0.000 7.693
K Pu U Se
3 1 2 6
Cartesian
0.000 0.000 0.000
3.699 2.118 0.000
3.699 -2.118 0.000
2.466 0.000 3.846
2.466 4.270 3.846
2.466 -4.270 3.846
1.204 2.185 2.252
-0.058 0.000 5.441
1.204 -2.185 2.252
3.727 2.185 5.441
4.989 0.000 2.252
3.727 -2.185 5.441

=====

(9)
K3Pu3VSe8 GGA-PBE optimized geometry; V = 458.9 Å³ per cell; symmetry = No. 12; formation energy (no corrections) = -1257 meV/atom
1.0
7.136 -4.122 0.000
7.136 4.122 0.000
-4.762 0.000 7.801
K Pu V Se
3 3 1 8
Cartesian
0.000 0.000 0.000
3.568 2.061 0.000
3.568 -2.061 0.000
1.187 2.061 3.901
1.187 -2.061 3.901
4.754 0.000 3.901
-2.381 0.000 3.901
-0.175 0.000 5.379
3.652 2.211 5.379
5.857 2.211 2.422
2.375 0.000 2.293
7.134 0.000 5.508
3.652 -2.211 5.379
5.857 -2.211 2.422
9.684 0.000 2.422

=====

(10)
K2YPuSe4 GGA-PBE optimized geometry; V = 240.4 Å³ per cell; symmetry = No. 10; formation energy (no corrections) = -1608 meV/atom
1.0
7.380 0.000 0.000
0.000 4.255 0.000
-2.461 0.000 7.655
K Y Pu Se
2 1 1 4
Cartesian
0.000 0.000 0.000
3.690 2.127 0.000
-1.230 2.127 3.827
2.460 0.000 3.827
-0.029 0.000 5.405
1.213 2.127 2.261
3.706 2.127 5.394
4.948 0.000 2.250